The following is a DFT calculation (PBE-GGA) of an optimized crystal structure of InSbOsI2.

```
InSbOsI2
1.0
5.7163 0.0000 0.0000
0.0000 5.7163 0.0000
0.0000 0.0000 5.0091
In Sb Os I
1 1 1 2
Cartesian
0.0000 0.0000 0.0000 In
2.8582 2.8582 0.0000 Sb
2.8582 2.8582 2.5045 Os
0.0000 2.8582 2.5045 I
2.8582 0.0000 2.5045 I
```

As for the space group: P4/mmm. For the uncorrected formation energy, the calculation gives 0.47 eV per atom. The raw total energy is -3.77 eV per atom.